(1)
# ZnSn2Ir | OQMD | PBE | relaxed
data_ZnSn2Ir
_chemical_formula_sum 'Zn1 Sn2 Ir1'
_cell_length_a 4.797
_cell_length_b 4.797
_cell_length_c 4.797
_cell_angle_alpha 60.00
_cell_angle_beta 60.00
_cell_angle_gamma 60.00
_symmetry_space_group_name_H-M 'P 1'
_symmetry_Int_Tables_number 1
_symmetry_space_group_name_Hall 'P 1'
loop_
_atom_site_label
_atom_site_type_symbol
_atom_site_fract_x
_atom_site_fract_y
_atom_site_fract_z
Zn1 Zn 0.000 0.000 0.000
Sn1 Sn 0.500 0.500 0.500
Sn2 Sn 0.750 0.750 0.750
Ir1 Ir 0.250 0.250 0.250
# - Space-group type: F-43m (216)

(2)
# ZnSnIr2 | OQMD | PBE | relaxed
data_ZnSnIr2
_chemical_formula_sum 'Zn1 Sn1 Ir2'
_cell_length_a 4.509
_cell_length_b 4.509
_cell_length_c 4.509
_cell_angle_alpha 60.00
_cell_angle_beta 60.00
_cell_angle_gamma 60.00
_symmetry_space_group_name_H-M 'P 1'
_symmetry_Int_Tables_number 1
_symmetry_space_group_name_Hall 'P 1'
loop_
_atom_site_label
_atom_site_type_symbol
_atom_site_fract_x
_atom_site_fract_y
_atom_site_fract_z
Zn1 Zn 0.000 0.000 0.000
Sn1 Sn 0.750 0.750 0.750
Ir1 Ir 0.250 0.250 0.250
Ir2 Ir 0.500 0.500 0.500
# - Space-group type: F-43m (216)

(3)
# ZrSnIr | OQMD | PBE | relaxed
data_ZrSnIr
_chemical_formula_sum 'Zr6 Sn6 Ir6'
_cell_length_a 7.399
_cell_length_b 7.399
_cell_length_c 7.389
_cell_angle_alpha 90.00
_cell_angle_beta 90.00
_cell_angle_gamma 120.00
_symmetry_space_group_name_H-M 'P 1'
_symmetry_Int_Tables_number 1
_symmetry_space_group_name_Hall 'P 1'
loop_
_atom_site_label
_atom_site_type_symbol
_atom_site_fract_x
_atom_site_fract_y
_atom_site_fract_z
Zr1 Zr 0.020 0.406 0.250
Zr2 Zr 0.386 0.980 0.250
Zr3 Zr 0.406 0.020 0.750
Zr4 Zr 0.594 0.614 0.250
Zr5 Zr 0.614 0.594 0.750
Zr6 Zr 0.980 0.386 0.750
Sn1 Sn 0.000 0.730 0.000
Sn2 Sn 0.000 0.730 0.500
Sn3 Sn 0.270 0.270 0.000
Sn4 Sn 0.270 0.270 0.500
Sn5 Sn 0.730 0.000 0.000
Sn6 Sn 0.730 0.000 0.500
Ir1 Ir 0.000 0.000 0.250
Ir2 Ir 0.000 0.000 0.750
Ir3 Ir 0.333 0.667 0.537
Ir4 Ir 0.333 0.667 0.963
Ir5 Ir 0.667 0.333 0.037
Ir6 Ir 0.667 0.333 0.463
# - Space-group type: P-62c (190)

(4)
# Sr2Ir | OQMD | PBE | relaxed
data_Sr2Ir
_chemical_formula_sum 'Sr4 Ir2'
_cell_length_a 8.958
_cell_length_b 8.958
_cell_length_c 8.958
_cell_angle_alpha 60.00
_cell_angle_beta 60.00
_cell_angle_gamma 60.00
_symmetry_space_group_name_H-M 'P 1'
_symmetry_Int_Tables_number 1
_symmetry_space_group_name_Hall 'P 1'
loop_
_atom_site_label
_atom_site_type_symbol
_atom_site_fract_x
_atom_site_fract_y
_atom_site_fract_z
Sr1 Sr 0.000 0.000 0.000
Sr2 Sr 0.000 0.000 0.500
Sr3 Sr 0.000 0.500 0.000
Sr4 Sr 0.500 0.000 0.000
Ir1 Ir 0.125 0.125 0.125
Ir2 Ir 0.875 0.875 0.875
# - Space-group type: Fd-3m (227)

(5)
# SrIr4 | OQMD | PBE | relaxed
data_SrIr4
_chemical_formula_sum 'Sr1 Ir4'
_cell_length_a 6.205
_cell_length_b 6.205
_cell_length_c 6.205
_cell_angle_alpha 140.35
_cell_angle_beta 140.35
_cell_angle_gamma 57.32
_symmetry_space_group_name_H-M 'P 1'
_symmetry_Int_Tables_number 1
_symmetry_space_group_name_Hall 'P 1'
loop_
_atom_site_label
_atom_site_type_symbol
_atom_site_fract_x
_atom_site_fract_y
_atom_site_fract_z
Sr1 Sr 0.000 0.000 0.000
Ir1 Ir 0.250 0.750 0.500
Ir2 Ir 0.391 0.391 0.000
Ir3 Ir 0.609 0.609 0.000
Ir4 Ir 0.750 0.250 0.500
# - Space-group type: I4/mmm (139)

(6)
# Sr2Ir | OQMD | PBE | relaxed
data_Sr2Ir
_chemical_formula_sum 'Sr4 Ir2'
_cell_length_a 6.206
_cell_length_b 6.206
_cell_length_c 6.206
_cell_angle_alpha 60.00
_cell_angle_beta 60.00
_cell_angle_gamma 60.00
_symmetry_space_group_name_H-M 'P 1'
_symmetry_Int_Tables_number 1
_symmetry_space_group_name_Hall 'P 1'
loop_
_atom_site_label
_atom_site_type_symbol
_atom_site_fract_x
_atom_site_fract_y
_atom_site_fract_z
Sr1 Sr 0.000 0.000 0.000
Sr2 Sr 0.000 0.000 0.500
Sr3 Sr 0.000 0.500 0.000
Sr4 Sr 0.500 0.000 0.000
Ir1 Ir 0.375 0.375 0.375
Ir2 Ir 0.625 0.625 0.625
# - Space-group type: Fd-3m (227)

(7)
# Sr5Ir3 | OQMD | PBE | relaxed
data_Sr5Ir3
_chemical_formula_sum 'Sr10 Ir6'
_cell_length_a 8.865
_cell_length_b 8.865
_cell_length_c 6.664
_cell_angle_alpha 90.00
_cell_angle_beta 90.00
_cell_angle_gamma 120.00
_symmetry_space_group_name_H-M 'P 1'
_symmetry_Int_Tables_number 1
_symmetry_space_group_name_Hall 'P 1'
loop_
_atom_site_label
_atom_site_type_symbol
_atom_site_fract_x
_atom_site_fract_y
_atom_site_fract_z
Sr1 Sr 0.000 0.266 0.250
Sr2 Sr 0.000 0.734 0.750
Sr3 Sr 0.266 0.000 0.250
Sr4 Sr 0.266 0.266 0.750
Sr5 Sr 0.333 0.667 0.000
Sr6 Sr 0.333 0.667 0.500
Sr7 Sr 0.667 0.333 0.000
Sr8 Sr 0.667 0.333 0.500
Sr9 Sr 0.734 0.000 0.750
Sr10 Sr 0.734 0.734 0.250
Ir1 Ir 0.000 0.390 0.750
Ir2 Ir 0.000 0.610 0.250
Ir3 Ir 0.390 0.000 0.750
Ir4 Ir 0.390 0.390 0.250
Ir5 Ir 0.610 0.000 0.250
Ir6 Ir 0.610 0.610 0.750
# - Space-group type: P6_3/mcm (193)

(8)
# SrTa2Ir | OQMD | PBE | relaxed
data_SrTa2Ir
_chemical_formula_sum 'Sr1 Ta2 Ir1'
_cell_length_a 4.813
_cell_length_b 4.813
_cell_length_c 4.813
_cell_angle_alpha 60.00
_cell_angle_beta 60.00
_cell_angle_gamma 60.00
_symmetry_space_group_name_H-M 'P 1'
_symmetry_Int_Tables_number 1
_symmetry_space_group_name_Hall 'P 1'
loop_
_atom_site_label
_atom_site_type_symbol
_atom_site_fract_x
_atom_site_fract_y
_atom_site_fract_z
Sr1 Sr 0.000 0.000 0.000
Ta1 Ta 0.500 0.500 0.500
Ta2 Ta 0.750 0.750 0.750
Ir1 Ir 0.250 0.250 0.250
# - Space-group type: F-43m (216)

| no. | DFT total energy (eV per atom) |
| --- | --- |
| 1 | -4.24 |
| 2 | -5.53 |
| 3 | -7.88 |
| 4 | -3.44 |
| 5 | -7.33 |
| 6 | -2.92 |
| 7 | -4.43 |
| 8 | -7.92 |